## ErZrZn17 (PBE-GGA)

Data for a relaxed ErZrZn17 crystal.

## Properties
- DOS(E_F): 4.43 states/eV per cell
- Volume: 15.63 Å³/atom
- Space group: R3m
- VASP energy: -2.003 eV per atom

a b c (Å): 6.7236 6.7236 6.7235
angles (deg): 82.66 82.66 82.66
Sites, in units of the cell vectors:
Zr  0.3318  0.3318  0.3318
Zn  0.3502  0.8485  0.3502
Zn  0.2994  0.0017  0.6978
Zn  0.9941  0.9941  0.5059
Zn  0.9941  0.5059  0.9941
Zn  0.6409  0.6409  0.1739
Zn  0.3502  0.3502  0.8485
Zn  0.6978  0.0017  0.2994
Zn  0.1739  0.6409  0.6409
Zn  0.2994  0.6978  0.0017
Zn  0.6978  0.2994  0.0017
Zn  0.0017  0.2994  0.6978
Zn  0.8485  0.3502  0.3502
Zn  0.0017  0.6978  0.2994
Zn  0.6409  0.1739  0.6409
Zn  0.5059  0.9941  0.9941
Zn  0.1039  0.1039  0.1039
Zn  0.9033  0.9033  0.9033
Er  0.6646  0.6646  0.6646


## PmThHg4 (PBE-GGA)

Data for a relaxed PmThHg4 crystal.

## Properties
- DOS(E_F): 5.49 states/eV per cell
- E above lowest polymorph: 3.93 kcal/mol of atoms
- Volume: 25.63 Å³/atom
- Space group: F-43m

a b c (Å): 6.0136 6.0136 6.0136
angles (deg): 60.00 60.00 60.00
Sites, in units of the cell vectors:
Hg  0.6249  0.1252  0.6249
Hg  0.6249  0.6249  0.6249
Hg  0.1252  0.6249  0.6249
Hg  0.6249  0.6249  0.1252
Pm  0.2500  0.2500  0.2500
Th  0.0000  0.0000  0.0000


## ZnInMo2 (PBE-GGA)

Data for a relaxed ZnInMo2 crystal.

## Properties
- DOS(E_F): 1.96 states/eV per cell
- E above lowest polymorph: 0.00 kcal/mol of atoms
- Volume: 17.14 Å³/atom
- Space group: P4mm

a b c (Å): 3.3075 3.3075 6.2657
angles (deg): 90.00 90.00 90.00
Sites, in units of the cell vectors:
In  0.5000  0.5000  0.7430
Mo  0.5000  0.5000  0.2380
Mo  0.0000  0.0000  0.0389
Zn  0.0000  0.0000  0.4801


## AcGeW (PBE-GGA)

Data for a relaxed AcGeW crystal.

## Properties
- DOS(E_F): 4.45 states/eV per cell
- Volume: 23.87 Å³/atom
- Space group: P4/mmm
- VASP energy: -6.992 eV per atom

a b c (Å): 4.9885 3.5260 11.5215
angles (deg): 90.00 90.00 135.02
Sites, in units of the cell vectors:
Ge  0.6941  0.3881  0.0000
Ge  0.1947  0.3895  0.5000
W  0.6947  0.3893  0.6040
W  0.6947  0.3893  0.3960
Ac  0.1942  0.3885  0.1941
Ac  0.1942  0.3885  0.8059


## RbInC3 (PBE-GGA)

Data for a relaxed RbInC3 crystal.

## Properties
- DOS(E_F): 8.88 states/eV per cell
- E above lowest polymorph: 25.30 kcal/mol of atoms
- Volume: 36.88 Å³/atom
- Space group: Pm-3m

a b c (Å): 5.6916 5.6916 5.6916
angles (deg): 90.00 90.00 90.00
Sites, in units of the cell vectors:
Rb  0.0000  0.0000  0.0000
C  0.0000  0.0000  0.5000
C  0.5000  0.0000  0.0000
C  0.0000  0.5000  0.0000
In  0.5000  0.5000  0.5000


## Cs2CuHgAu (PBE-GGA)

Data for a relaxed Cs2CuHgAu crystal.

## Properties
- DOS(E_F): 2.21 states/eV per cell
- E above lowest polymorph: 0.00 kcal/mol of atoms
- Volume: 46.91 Å³/atom
- Space group: P4/mmm

a b c (Å): 6.8709 6.8709 4.9681
angles (deg): 90.00 90.00 90.00
Sites, in units of the cell vectors:
Cs  0.0000  0.5000  0.0000
Cs  0.5000  0.0000  0.0000
Hg  0.5000  0.5000  0.5000
Cu  0.0000  0.0000  0.5000
Au  0.0000  0.0000  0.0000


## SrCa2InNi (PBE-GGA)

Data for a relaxed SrCa2InNi crystal.

## Properties
- DOS(E_F): 4.47 states/eV per cell
- E above lowest polymorph: 0.00 kcal/mol of atoms
- Volume: 30.83 Å³/atom
- Space group: P4/mmm

a b c (Å): 5.4750 5.4750 5.1428
angles (deg): 90.00 90.00 90.00
Sites, in units of the cell vectors:
In  0.0000  0.0000  0.5000
Sr  0.5000  0.5000  0.5000
Ca  0.5000  0.0000  0.0000
Ca  0.0000  0.5000  0.0000
Ni  0.0000  0.0000  0.0000


## Pr6YTm3 (PBE-GGA)

Data for a relaxed Pr6YTm3 crystal.

## Properties
- DOS(E_F): 27.86 states/eV per cell
- Volume: 34.23 Å³/atom
- Space group: Cmc2_1
- VASP energy: -4.714 eV per atom

a b c (Å): 6.4479 11.2100 11.2100
angles (deg): 122.35 90.00 90.00
Sites, in units of the cell vectors:
Pr  0.3842  0.9720  0.0280
Pr  0.0510  0.7238  0.6287
Pr  0.8842  0.0280  0.9720
Pr  0.0510  0.3713  0.2762
Pr  0.6757  0.2830  0.7170
Pr  0.3368  0.0701  0.5011
Pr  0.8368  0.5011  0.0701
Pr  0.1757  0.7170  0.2830
Pr  0.5510  0.2762  0.3713
Pr  0.5510  0.6287  0.7238
Pr  0.3368  0.4989  0.9299
Pr  0.8368  0.9299  0.4989
Tm  0.4906  0.9506  0.7203
Tm  0.9906  0.7203  0.9506
Tm  0.9906  0.0494  0.2797
Tm  0.4906  0.2797  0.0494
Tm  0.0841  0.3924  0.6076
Tm  0.5841  0.6076  0.3924
Y  0.5843  0.8179  0.1821
Y  0.0843  0.1821  0.8179